Entry 1:
# GGA-PBE TaAl2, relaxed
# ΔE_f in eV per atom: 0.04
# VASP energy in eV per atom: -6.4014
# DOS at the Fermi energy in states/eV/cell: 2.8
# Total magnetic moment in μB/atom: 0.000
data_TaAl2
_space_group_name_H-M_alt 'P 1'
_space_group_IT_number 1
_space_group_name_Hall 'P 1'
_cell_length_a 10.057
_cell_length_b 10.057
_cell_length_c 10.057
_cell_angle_alpha 163.94
_cell_angle_beta 157.16
_cell_angle_gamma 28.05
loop_
_atom_site_label
_atom_site_fract_x
_atom_site_fract_y
_atom_site_fract_z
Ta1 0.358 0.108 0.250
Ta2 0.642 0.892 0.750
Al1 0.063 0.313 0.750
Al2 0.210 0.460 0.750
Al3 0.790 0.540 0.250
Al4 0.937 0.687 0.250

***

Entry 2:
# GGA-PBE Ta3Al, relaxed
# ΔE_f in eV per atom: -0.07
# VASP energy in eV per atom: -9.8969
# DOS at the Fermi energy in states/eV/cell: 3.8
# Total magnetic moment in μB/atom: 0.000
data_Ta3Al
_space_group_name_H-M_alt 'P 1'
_space_group_IT_number 1
_space_group_name_Hall 'P 1'
_cell_length_a 2.834
_cell_length_b 4.692
_cell_length_c 5.387
_cell_angle_alpha 90.04
_cell_angle_beta 98.34
_cell_angle_gamma 90.19
loop_
_atom_site_label
_atom_site_fract_x
_atom_site_fract_y
_atom_site_fract_z
Ta1 0.000 0.000 0.000
Ta2 0.252 0.499 0.752
Ta3 0.748 0.501 0.248
Al1 0.500 0.000 0.500

***

Entry 3:
# GGA-PBE Ta3Al, relaxed
# ΔE_f in eV per atom: -0.05
# VASP energy in eV per atom: -9.8743
# DOS at the Fermi energy in states/eV/cell: 6.0
# Total magnetic moment in μB/atom: 0.000
data_Ta3Al
_space_group_name_H-M_alt 'P 1'
_space_group_IT_number 1
_space_group_name_Hall 'P 1'
_cell_length_a 4.726
_cell_length_b 5.582
_cell_length_c 5.350
_cell_angle_alpha 90.00
_cell_angle_beta 90.00
_cell_angle_gamma 90.00
loop_
_atom_site_label
_atom_site_fract_x
_atom_site_fract_y
_atom_site_fract_z
Ta1 0.250 0.008 0.149
Ta2 0.250 0.492 0.149
Ta3 0.250 0.750 0.621
Ta4 0.750 0.250 0.379
Ta5 0.750 0.508 0.851
Ta6 0.750 0.992 0.851
Al1 0.250 0.250 0.664
Al2 0.750 0.750 0.336

***

Entry 4:
# GGA-PBE Ta3Al, relaxed
# ΔE_f in eV per atom: 0.04
# VASP energy in eV per atom: -9.7853
# DOS at the Fermi energy in states/eV/cell: 3.4
# Total magnetic moment in μB/atom: 0.000
data_Ta3Al
_space_group_name_H-M_alt 'P 1'
_space_group_IT_number 1
_space_group_name_Hall 'P 1'
_cell_length_a 2.911
_cell_length_b 2.911
_cell_length_c 9.797
_cell_angle_alpha 90.00
_cell_angle_beta 90.00
_cell_angle_gamma 120.00
loop_
_atom_site_label
_atom_site_fract_x
_atom_site_fract_y
_atom_site_fract_z
Ta1 0.000 0.000 0.000
Ta2 0.667 0.333 0.263
Ta3 0.667 0.333 0.737
Al1 0.000 0.000 0.500

***

Entry 5:
# GGA-PBE Tb5Ta3Al12, relaxed
# ΔE_f in eV per atom: 0.48
# VASP energy in eV per atom: -4.7057
# DOS at the Fermi energy in states/eV/cell: 46.6
# Total magnetic moment in μB/atom: 0.000
data_Tb5Ta3Al12
_space_group_name_H-M_alt 'P 1'
_space_group_IT_number 1
_space_group_name_Hall 'P 1'
_cell_length_a 14.155
_cell_length_b 14.155
_cell_length_c 14.155
_cell_angle_alpha 109.47
_cell_angle_beta 109.47
_cell_angle_gamma 109.47
loop_
_atom_site_label
_atom_site_fract_x
_atom_site_fract_y
_atom_site_fract_z
Tb1 0.000 0.000 0.000
Tb2 0.000 0.000 0.500
Tb3 0.000 0.500 0.000
Tb4 0.000 0.500 0.500
Tb5 0.125 0.750 0.875
Tb6 0.125 0.875 0.250
Tb7 0.250 0.125 0.875
Tb8 0.250 0.625 0.375
Tb9 0.375 0.250 0.625
Tb10 0.375 0.625 0.750
Tb11 0.500 0.000 0.000
Tb12 0.500 0.000 0.500
Tb13 0.500 0.500 0.000
Tb14 0.500 0.500 0.500
Tb15 0.625 0.375 0.250
Tb16 0.625 0.750 0.375
Tb17 0.750 0.375 0.625
Tb18 0.750 0.875 0.125
Tb19 0.875 0.125 0.750
Tb20 0.875 0.250 0.125
Ta1 0.125 0.250 0.375
Ta2 0.125 0.375 0.750
Ta3 0.250 0.375 0.125
Ta4 0.250 0.875 0.625
Ta5 0.375 0.125 0.250
Ta6 0.375 0.750 0.125
Ta7 0.625 0.250 0.875
Ta8 0.625 0.875 0.750
Ta9 0.750 0.125 0.375
Ta10 0.750 0.625 0.875
Ta11 0.875 0.625 0.250
Ta12 0.875 0.750 0.625
Al1 0.071 0.735 0.644
Al2 0.071 0.836 0.428
Al3 0.072 0.664 0.429
Al4 0.072 0.909 0.644
Al5 0.091 0.235 0.164
Al6 0.091 0.356 0.928
Al7 0.144 0.235 0.571
Al8 0.144 0.409 0.572
Al9 0.164 0.091 0.235
Al10 0.164 0.572 0.929
Al11 0.235 0.164 0.091
Al12 0.235 0.571 0.144
Al13 0.265 0.356 0.929
Al14 0.265 0.409 0.336
Al15 0.336 0.265 0.409
Al16 0.336 0.571 0.928
Al17 0.356 0.928 0.091
Al18 0.356 0.929 0.265
Al19 0.409 0.336 0.265
Al20 0.409 0.572 0.144
Al21 0.428 0.071 0.836
Al22 0.428 0.856 0.591
Al23 0.429 0.072 0.664
Al24 0.429 0.856 0.765
Al25 0.571 0.144 0.235
Al26 0.571 0.928 0.336
Al27 0.572 0.144 0.409
Al28 0.572 0.929 0.164
Al29 0.591 0.428 0.856
Al30 0.591 0.664 0.735
Al31 0.644 0.071 0.735
Al32 0.644 0.072 0.909
Al33 0.664 0.429 0.072
Al34 0.664 0.735 0.591
Al35 0.735 0.591 0.664
Al36 0.735 0.644 0.071
Al37 0.765 0.429 0.856
Al38 0.765 0.836 0.909
Al39 0.836 0.428 0.071
Al40 0.836 0.909 0.765
Al41 0.856 0.591 0.428
Al42 0.856 0.765 0.429
Al43 0.909 0.644 0.072
Al44 0.909 0.765 0.836
Al45 0.928 0.091 0.356
Al46 0.928 0.336 0.571
Al47 0.929 0.164 0.572
Al48 0.929 0.265 0.356

***

Entry 6:
# GGA-PBE TbTaAl2, relaxed
# ΔE_f in eV per atom: 0.02
# VASP energy in eV per atom: -5.9716
# DOS at the Fermi energy in states/eV/cell: 3.4
# Total magnetic moment in μB/atom: 0.000
data_TbTaAl2
_space_group_name_H-M_alt 'P 1'
_space_group_IT_number 1
_space_group_name_Hall 'P 1'
_cell_length_a 10.096
_cell_length_b 10.096
_cell_length_c 10.096
_cell_angle_alpha 17.42
_cell_angle_beta 17.42
_cell_angle_gamma 17.42
loop_
_atom_site_label
_atom_site_fract_x
_atom_site_fract_y
_atom_site_fract_z
Tb1 0.000 0.000 0.000
Ta1 0.500 0.500 0.500
Al1 0.242 0.242 0.242
Al2 0.758 0.758 0.758